VASP calculation (PBE-GGA) on KMnBi after structural relaxation.

```
data_KMnBi
_cell_length_a 4.797
_cell_length_b 4.797
_cell_length_c 8.431
_cell_angle_alpha 90.00
_cell_angle_beta 90.00
_cell_angle_gamma 90.00
_space_group_name_H-M_alt 'P 1'
_space_group_IT_number 1
loop_
_space_group_symop_operation_xyz
'x,y,z'
loop_
_atom_site_label
_atom_site_type_symbol
_atom_site_fract_x
_atom_site_fract_y
_atom_site_fract_z
K1 K 0.000 0.500 0.343
Mn1 Mn 0.500 0.500 0.000
K2 K 0.500 0.000 0.657
Mn2 Mn 0.000 0.000 0.000
Bi1 Bi 0.500 0.000 0.194
Bi2 Bi 0.000 0.500 0.806
```

Values from the calculation:
**SG**: P4/nmm (129)
**E**: -4.719 eV per atom
**Formation energy from the elements**: -0.003 eV per atom



VASP calculation (PBE-GGA) on K2MnBi after structural relaxation.

```
data_K2MnBi
_cell_length_a 13.510
_cell_length_b 13.510
_cell_length_c 9.896
_cell_angle_alpha 46.96
_cell_angle_beta 46.96
_cell_angle_gamma 90.00
_space_group_name_H-M_alt 'P 1'
_space_group_IT_number 1
loop_
_space_group_symop_operation_xyz
'x,y,z'
loop_
_atom_site_label
_atom_site_type_symbol
_atom_site_fract_x
_atom_site_fract_y
_atom_site_fract_z
K1 K 0.375 0.622 0.750
Bi1 Bi 0.000 0.000 0.000
K2 K 0.372 0.625 0.250
K3 K 0.378 0.125 0.250
Mn1 Mn 0.500 0.500 0.000
Mn2 Mn 0.250 0.750 0.500
Bi2 Bi 0.750 0.250 0.500
K4 K 0.875 0.628 0.750
```

Values from the calculation:
**SG**: I-42d (122)
**E**: -3.552 eV per atom
**Formation energy from the elements**: 0.260 eV per atom



VASP calculation (PBE-GGA) on KMn2NiBi after structural relaxation.

```
data_KMn2NiBi
_cell_length_a 5.322
_cell_length_b 5.013
_cell_length_c 5.322
_cell_angle_alpha 90.00
_cell_angle_beta 90.00
_cell_angle_gamma 90.00
_space_group_name_H-M_alt 'P 1'
_space_group_IT_number 1
loop_
_space_group_symop_operation_xyz
'x,y,z'
loop_
_atom_site_label
_atom_site_type_symbol
_atom_site_fract_x
_atom_site_fract_y
_atom_site_fract_z
K1 K 0.500 0.500 0.500
Mn1 Mn 0.000 0.000 0.500
Bi1 Bi 0.000 0.000 0.000
Ni1 Ni 0.000 0.500 0.000
Mn2 Mn 0.500 0.000 0.000
```

Values from the calculation:
**SG**: P4/mmm (123)
**E**: -4.881 eV per atom
**Formation energy from the elements**: 0.939 eV per atom



Please write out number 3 again, unchanged.
VASP calculation (PBE-GGA) on KMn2NiBi after structural relaxation.

```
data_KMn2NiBi
_cell_length_a 5.322
_cell_length_b 5.013
_cell_length_c 5.322
_cell_angle_alpha 90.00
_cell_angle_beta 90.00
_cell_angle_gamma 90.00
_space_group_name_H-M_alt 'P 1'
_space_group_IT_number 1
loop_
_space_group_symop_operation_xyz
'x,y,z'
loop_
_atom_site_label
_atom_site_type_symbol
_atom_site_fract_x
_atom_site_fract_y
_atom_site_fract_z
K1 K 0.500 0.500 0.500
Mn1 Mn 0.000 0.000 0.500
Bi1 Bi 0.000 0.000 0.000
Ni1 Ni 0.000 0.500 0.000
Mn2 Mn 0.500 0.000 0.000
```

Values from the calculation:
**SG**: P4/mmm (123)
**E**: -4.881 eV per atom
**Formation energy from the elements**: 0.939 eV per atom



Q: Which value of E does entry 1 give?
A: -4.719 eV per atom



Q: The lowest E belongs to which entry?
A: KMn2NiBi



Q: The lowest E belongs to which entry?
A: KMn2NiBi